Ca3AsI | Alexandria via LeMat-Bulk | GGA-PBEsol | optimized geometry; volume = 35.618 Å³/atom; formation energy without anion corrections = -0.76 eV/atom; SG = Pm-3m, No. 221
1.0
5.6262 0.0000 0.0000
0.0000 5.6262 0.0000
0.0000 0.0000 5.6262
Ca As I
3 1 1
direct
0.5000 0.0000 0.0000
0.0000 0.5000 0.0000
0.0000 0.0000 0.5000
0.0000 0.0000 0.0000
0.5000 0.5000 0.5000